## CuSbAu2 (PBE-GGA)

Data for a geometry-optimized CuSbAu2 structure.

Cell lengths 4.9238, 4.9238, 4.3502 Å; angles 72.45, 72.45, 49.68 degrees
Fractional positions:
Cu 0.4840 0.4840 0.5653
Au 0.7579 0.7579 0.7032
Au 0.0035 0.0035 0.9915
Sb 0.2546 0.2546 0.2401

Output
space-group type	Cm
DOS(E_F)	0.38	states/eV/atom
ΔE_f (raw)	76.0	meV per atom
spin magnetization	0.00	μB/f.u.